1.
Density functional theory data (PBEsol) for crystalline Cs2PtF6 at its relaxed geometry.

Cell: 6.167 6.167 4.988 Å, 90.00 90.00 120.00°
Fractional coordinates of all 9 atoms:
Cs1 0.333 0.667 0.208
Cs2 0.667 0.333 0.792
Pt1 0.000 0.000 0.500
F1 0.153 0.306 0.714
F2 0.153 0.847 0.714
F3 0.306 0.153 0.286
F4 0.694 0.847 0.714
F5 0.847 0.153 0.286
F6 0.847 0.694 0.286

Mass density ... 5811 kg/m³
Total moment ... 0.00 μB/cell

=====

2.
Density functional theory data (PBEsol) for crystalline Cs2PtF6 at its relaxed geometry.

Cell: 6.323 6.323 6.323 Å, 60.00 60.00 60.00°
Fractional coordinates of all 9 atoms:
Cs1 0.250 0.250 0.250
Cs2 0.750 0.750 0.750
Pt1 0.000 0.000 0.000
F1 0.218 0.218 0.782
F2 0.218 0.782 0.218
F3 0.218 0.782 0.782
F4 0.782 0.218 0.218
F5 0.782 0.218 0.782
F6 0.782 0.782 0.218

Mass density ... 5340 kg/m³
Total moment ... 0.01 μB/cell

=====

The winner here is 2, beating the second structure by 0.7 kJ/mol of atoms.

=====

1.
Density functional theory data (PBEsol) for crystalline CsTlF2 at its relaxed geometry.

Cell: 8.401 8.401 8.401 Å, 29.29 29.29 29.29°
Fractional coordinates of all 4 atoms:
Cs1 0.000 0.000 0.000
Tl1 0.500 0.500 0.500
F1 0.402 0.402 0.402
F2 0.598 0.598 0.598

Mass density ... 4962 kg/m³
Total moment ... 0.00 μB/cell

=====

2.
Density functional theory data (PBEsol) for crystalline CsTlF2 at its relaxed geometry.

Cell: 7.520 7.520 7.520 Å, 130.19 130.19 73.10°
Fractional coordinates of all 8 atoms:
Cs1 0.000 0.000 0.000
Cs2 0.750 0.250 0.500
Tl1 0.250 0.750 0.500
Tl2 0.500 0.500 0.000
F1 0.158 0.625 0.033
F2 0.375 0.408 0.533
F3 0.592 0.125 0.967
F4 0.875 0.842 0.467

Mass density ... 5143 kg/m³
Total moment ... 0.00 μB/cell

=====

The winner here is 2, beating the second structure by 13.2 kJ/mol of atoms.